# 1
DFT (PBE-GGA) results for RbUSnS6 after structural relaxation.

## Properties
total magnetization: 1.00 μB/f.u.
space-group type: No. 5
VASP energy: -47.23 eV/cell
calculated density: 3.6 Mg/m³
formation energy from raw total energies: -0.6901 eV/atom
density of states at the Fermi level: 1.143 states/eV/atom

```
RbUSnS6
1.0
-3.709 5.248 -0.220
-1.775 2.459 -5.670
-6.621 -4.674 0.050
Rb S Sn U
1 6 1 1
Direct
0.000 0.000 0.000 Rb
0.353 0.643 0.312 S
0.004 0.354 0.312 S
0.642 0.353 0.688 S
0.353 0.004 0.688 S
0.004 0.642 0.688 S
0.642 0.004 0.312 S
0.666 0.666 0.500 Sn
0.333 0.333 0.500 U
```



# 2
DFT (PBE-GGA) results for CeSmPuMg after structural relaxation.

## Properties
total magnetization: 7.53 μB/f.u.
formation energy: 0.1326 eV per atom
space-group type: No. 216
VASP energy: -26.05 eV/cell
calculated density: 8.2 Mg/m³
density of states at the Fermi level: 3.664 states/eV/atom

```
CeSmPuMg
1.0
5.433 0.000 0.000
2.717 4.705 0.000
2.717 1.568 4.436
Pu Ce Mg Sm
1 1 1 1
Direct
0.250 0.250 0.250 Pu
0.500 0.500 0.500 Ce
0.750 0.750 0.750 Mg
0.000 0.000 0.000 Sm
```



# 3
DFT (PBE-GGA) results for Sc3CrRe after structural relaxation.

## Properties
total magnetization: 0.32 μB/f.u.
formation energy: 1.0146 eV per atom
space-group type: No. 221
VASP energy: -35.99 eV/cell
calculated density: 5.0 Mg/m³
density of states at the Fermi level: 2.099 states/eV/atom
distance to the lowest polymorph of the same formula: 31 meV per atom

```
Sc3CrRe
1.0
4.986 0.000 0.000
0.000 4.986 0.000
0.000 0.000 4.986
Re Cr Sc
1 1 3
Direct
0.000 0.000 0.000 Re
0.500 0.500 0.500 Cr
0.500 0.000 0.000 Sc
0.000 0.500 0.000 Sc
0.000 0.000 0.500 Sc
```



- Which of these has the highest density of states at the Fermi level?
  CeSmPuMg



- The lowest VASP energy belongs to which entry?
  RbUSnS6



- Number 1 is which compound?
  RbUSnS6



- Which value of density of states at the Fermi level does entry 2 give?
  3.664 states/eV/atom